# 1
! YSiAs2 GGA-PBEsol relaxed; values from VASP
! Energy relative to the elements, uncorrected, eV per atom: -0.4665
! DOS(E_F), states/eV per cell: 1.84
&SYSTEM
  ibrav = 0, nat = 4, ntyp = 3
/
ATOMIC_SPECIES
As 74.92 As.upf
Si 28.09 Si.upf
Y 88.91 Y.upf
ATOMIC_POSITIONS crystal
As 0.0000 0.0000 0.5000
As 0.0000 0.5000 0.0000
Si 0.5000 0.0000 0.0000
Y 0.5000 0.5000 0.5000
CELL_PARAMETERS angstrom
3.7287 0.0000 0.0000
0.0000 4.6081 0.0144
0.0000 -0.9167 4.5160


# 2
! Ta3Rh GGA-PBEsol relaxed; values from VASP
! Formation energy, meV/atom: 7
! DOS(E_F), states/eV per cell: 4.78
&SYSTEM
  ibrav = 0, nat = 4, ntyp = 2
/
ATOMIC_SPECIES
Ta 180.95 Ta.upf
Rh 102.91 Rh.upf
ATOMIC_POSITIONS crystal
Ta 0.6667 0.3333 0.7678
Ta 0.0000 0.0000 0.5000
Ta 0.6667 0.3333 0.2322
Rh 0.0000 0.0000 0.0000
CELL_PARAMETERS angstrom
2.8640 0.0000 0.0000
-1.4320 2.4803 0.0000
0.0000 0.0000 9.4205